# Ac4Dy3TmBi8 | the Alexandria database | PBE | relaxed
data_Ac4Dy3TmBi8
_cell_length_a 9.3570
_cell_length_b 9.3570
_cell_length_c 22.8526
_cell_angle_alpha 90.00
_cell_angle_beta 90.00
_cell_angle_gamma 120.00
_space_group_name_H-M_alt 'R -3 m'
_space_group_IT_number 166
_space_group_name_Hall '-R 3 2"'
loop_
_atom_site_label
_atom_site_type_symbol
_atom_site_fract_x
_atom_site_fract_y
_atom_site_fract_z
Ac1 Ac 0.0000 0.0000 0.0000
Ac2 Ac 0.0000 0.5000 0.0000
Dy1 Dy 0.0000 0.5000 0.5000
Tm1 Tm 0.0000 0.0000 0.5000
Bi1 Bi 0.0000 0.0000 0.2423
Bi2 Bi 0.0014 0.5007 0.2419
# - E_tot (eV/atom) = -5.0133